The following is a DFT calculation (GGA-PBE) of crystalline Li3Ta3ReN8 at its relaxed geometry.

a b c (Å): 6.1266 6.1266 15.4305
angles (deg): 90.00 90.00 120.00
Space group R-3m (No. 166, hexagonal axes)
One atom of each set of equivalent atoms:
Li 0.0000 0.5000 0.0000
Ta 0.0000 0.5000 0.5000
Re 0.0000 0.0000 0.5000
N 0.0000 0.0000 0.2398
N 0.0089 0.5045 0.2383

Properties
- E: -392.1 eV for the cell shown
- Calculated density: 8.6 g cm⁻³
- Crystal system: trigonal
- Raw formation energy: -10.360 eV per formula unit